Entry 1:
A plane-wave DFT calculation with PBE was carried out for crystalline Ca3Sb3Pd2 at its relaxed geometry.

```
32
Lattice="-5.8500 -0.4224 -1.3553 1.8200 -5.7828 -6.0534 -1.6021 -11.4925 10.4971" Properties=species:S:1:pos:R:3 pbc="T T T"
Sb -3.1127 -2.4270 -2.2595
Sb -3.7939 -7.3132 2.2035
Sb -0.7234 -3.9316 1.4162
Sb -4.1766 -10.7562 5.0793
Sb -2.5193 -15.2708 5.3478
Sb -1.1722 -7.3794 4.2767
Sb -4.9087 -13.7662 1.6722
Sb -1.8533 -12.2656 8.7397
Sb -1.4555 -6.9415 -1.9910
Sb -1.8382 -10.3846 0.8848
Sb -3.7788 -5.4322 -5.6513
Sb -4.4599 -10.3184 -1.1883
Ca -3.4475 -4.9873 -0.1554
Ca -0.6129 -6.9922 -5.1663
Ca -1.0592 -10.1935 -2.2422
Ca -2.1846 -12.7105 3.2437
Ca -5.1099 -10.5002 1.9687
Ca -4.5729 -7.5043 5.3306
Ca -4.0528 -7.9881 -3.5332
Ca -5.0192 -10.7056 8.2547
Ca -1.5793 -9.7097 6.6215
Ca -0.5222 -7.1976 1.1197
Ca -0.0759 -3.9963 -1.8043
Ca -5.5562 -13.7015 4.8927
Pd -2.4454 -9.5397 3.3412
Pd -3.1867 -8.1581 -0.2529
Pd -0.0027 -12.3204 0.6696
Pd -0.4607 -15.6062 3.6708
Pd -2.9034 -12.8254 6.3424
Pd -5.1714 -2.0916 -0.5825
Pd -5.6294 -5.3774 2.4187
Pd -2.7287 -4.8723 -3.2541
```

Output
DOS(E_F), states/eV per cell: 13.14
ΔE to the lowest computed polymorph, meV/atom: 39.1
Final energy, eV/atom: -4.472

=====

Entry 2:
A plane-wave DFT calculation with PBE was carried out for crystalline CsCu2OsCl8 at its relaxed geometry.

```
12
Lattice="-3.8373 -5.8276 1.1977 -0.0225 -5.5357 -4.4567 6.0635 -4.5627 3.7926" Properties=species:S:1:pos:R:3 pbc="T T T"
Cu 2.1410 -9.0014 0.9408
Cu 0.0628 -6.9245 -0.4073
Cl -1.5188 -5.6295 0.7362
Cl 0.4825 -5.4391 -2.1418
Cl 1.7213 -10.4869 2.6754
Cl 3.7226 -10.2964 -0.2026
Cl 2.0666 -13.6269 0.5280
Cl 2.0349 -6.7436 0.9364
Cl 0.1371 -2.2991 0.0056
Cl 0.1689 -9.1823 -0.4028
Os 0.0000 0.0000 0.0000
Cs 3.0318 -2.2813 1.8963
```

Output
DOS(E_F), states/eV per cell: 4.70
Final energy, eV/atom: -3.623

=====

Entry 3:
A plane-wave DFT calculation with PBE was carried out for crystalline CsTl2Br4 at its relaxed geometry.

```
14
Lattice="-2.9146 -2.4460 -2.8298 4.9556 -4.9772 3.1710 -10.0449 -2.1988 12.2465" Properties=species:S:1:pos:R:3 pbc="T T T"
Tl 0.2423 -1.7473 1.2607
Tl -4.5474 -7.0651 6.8175
Tl -3.4565 -2.5569 5.7702
Tl -8.2462 -7.8748 11.3269
Br -0.6140 -4.8332 0.8370
Br -7.3899 -4.7888 11.7507
Br -4.4923 -4.1545 8.2179
Br -3.5116 -5.4675 4.3698
Br -6.4797 -2.3224 4.7083
Br -1.9382 -1.5653 3.3493
Br -6.0657 -8.0568 9.2384
Br -1.4573 -1.2230 -1.4149
Cs -8.2067 -4.2621 8.1636
Cs 0.2028 -5.3599 4.4240
```

Output
DOS(E_F), states/eV per cell: 8.01
ΔE to the lowest computed polymorph, meV/atom: 0.0
Final energy, eV/atom: -2.745

=====

Q: Among the records above, which one has the highest final energy?
A: CsTl2Br4

=====

Q: What is the formula in the third record?
A: CsTl2Br4

=====

What did the second record say?
A plane-wave DFT calculation with PBE was carried out for crystalline CsCu2OsCl8 at its relaxed geometry.

```
12
Lattice="-3.8373 -5.8276 1.1977 -0.0225 -5.5357 -4.4567 6.0635 -4.5627 3.7926" Properties=species:S:1:pos:R:3 pbc="T T T"
Cu 2.1410 -9.0014 0.9408
Cu 0.0628 -6.9245 -0.4073
Cl -1.5188 -5.6295 0.7362
Cl 0.4825 -5.4391 -2.1418
Cl 1.7213 -10.4869 2.6754
Cl 3.7226 -10.2964 -0.2026
Cl 2.0666 -13.6269 0.5280
Cl 2.0349 -6.7436 0.9364
Cl 0.1371 -2.2991 0.0056
Cl 0.1689 -9.1823 -0.4028
Os 0.0000 0.0000 0.0000
Cs 3.0318 -2.2813 1.8963
```

Output
DOS(E_F), states/eV per cell: 4.70
Final energy, eV/atom: -3.623

=====

Q: Among the records above, which one has the lowest final energy?
A: Ca3Sb3Pd2